Below is a crystal of TiZn3 relaxed with PBEsol, with properties calculated at the SCAN level.

Values from the calculation:
Size of the total moment ... 0.030 μB per cell
ΔE_f ... -25.1 kJ/mol of atoms

Cell lengths 3.8536, 3.8536, 3.8536 Å; angles 90.00, 90.00, 90.00 degrees
Atoms (fractional coordinates):
Zn: 0.5000 0.0000 0.5000
Zn: 0.5000 0.5000 0.0000
Ti: 0.0000 0.0000 0.0000
Zn: 0.0000 0.5000 0.5000

***

Below is a crystal of CoNi2Cl relaxed with PBEsol, with properties calculated at the SCAN level.

Values from the calculation:
Formation energy from raw total energies ... 249 kJ/mol of formula units
E above lowest polymorph ... 184 kJ/mol of formula units
Size of the total moment ... 3.391 μB per cell

Cell lengths 3.5087, 3.5087, 3.7747 Å; angles 90.00, 90.00, 90.00 degrees
Atoms (fractional coordinates):
Cl: 0.5000 0.5000 0.5000
Co: 0.0000 0.0000 0.5000
Ni: 0.0000 0.5000 0.0000
Ni: 0.5000 0.0000 0.0000

***

Below is a crystal of CaCd2 relaxed with PBEsol, with properties calculated at the SCAN level.

Values from the calculation:
Size of the total moment ... 0.000 μB per cell
ΔE_f ... -32.0 kJ/mol of atoms

Cell lengths 4.0896, 5.0233, 7.3864 Å; angles 90.00, 106.07, 90.00 degrees
Atoms (fractional coordinates):
Cd: 0.9089 0.7500 0.8177
Ca: 0.5888 0.7500 0.1776
Cd: 0.2603 0.7500 0.5205
Cd: 0.7397 0.2500 0.4795
Ca: 0.4112 0.2500 0.8224
Cd: 0.0911 0.2500 0.1823

***

Below is a crystal of LiMnPO4 relaxed with PBEsol, with properties calculated at the SCAN level.

Values from the calculation:
Formation energy from raw total energies ... -1680 kJ/mol of formula units
E above lowest polymorph ... 0 kJ/mol of formula units
Size of the total moment ... 20.000 μB per cell

Cell lengths 5.5628, 6.2288, 8.3344 Å; angles 90.00, 90.00, 90.00 degrees
Atoms (fractional coordinates):
O: 0.7500 0.5465 0.4993
O: 0.4736 0.7499 0.2184
Li: 0.2500 0.7500 0.4169
P: 0.2500 0.2499 0.3971
O: 0.2500 0.0464 0.5008
Li: 0.7500 0.2500 0.5831
P: 0.2500 0.7499 0.1029
O: 0.5264 0.7501 0.7184
O: 0.9736 0.2501 0.7816
Li: 0.2500 0.2500 0.0831
Mn: 0.7500 0.5000 0.2501
O: 0.2500 0.9535 0.9993
O: 0.0264 0.7499 0.2184
O: 0.2500 0.5464 0.9992
O: 0.5264 0.2501 0.7816
P: 0.7500 0.2501 0.8971
Li: 0.7500 0.7500 0.9169
O: 0.9736 0.7501 0.7184
P: 0.7500 0.7501 0.6029
O: 0.4736 0.2499 0.2816
O: 0.0264 0.2499 0.2816
O: 0.7500 0.4536 0.0008
O: 0.7500 0.0465 0.0007
Mn: 0.7500 0.0000 0.2499
Mn: 0.2500 0.0000 0.7501
O: 0.2500 0.4535 0.5007
Mn: 0.2500 0.5000 0.7499
O: 0.7500 0.9536 0.4992

***

Below is a crystal of Mg2ScZn relaxed with PBEsol, with properties calculated at the SCAN level.

Values from the calculation:
Size of the total moment ... 0.001 μB per cell
ΔE_f ... -15.3 kJ/mol of atoms

Cell lengths 3.9605, 4.3228, 4.6050 Å; angles 90.00, 90.00, 90.00 degrees
Atoms (fractional coordinates):
Mg: 0.0000 0.0000 0.0000
Mg: 0.5000 0.5000 0.0000
Zn: 0.0000 0.5000 0.5000
Sc: 0.5000 0.0000 0.5000

***

Below is a crystal of HfZn2Br relaxed with PBEsol, with properties calculated at the SCAN level.

Values from the calculation:
Formation energy from raw total energies ... 250 kJ/mol of formula units
Size of the total moment ... 0.000 μB per cell

Cell lengths 4.7965, 4.7965, 4.7965 Å; angles 60.00, 60.00, 60.00 degrees
Atoms (fractional coordinates):
Br: 0.0000 0.0000 0.0000
Zn: 0.2500 0.2500 0.2500
Hf: 0.5000 0.5000 0.5000
Zn: 0.7500 0.7500 0.7500

***

Below is a crystal of K3TmF6 relaxed with PBEsol, with properties calculated at the SCAN level.

Values from the calculation:
Formation energy from raw total energies ... -3450 kJ/mol of formula units
Size of the total moment ... 0.565 μB per cell

Cell lengths 6.2379, 6.4935, 8.8839 Å; angles 90.00, 88.92, 90.00 degrees
Atoms (fractional coordinates):
K: 0.4808 0.0536 0.2422
K: 0.5000 0.5000 0.0000
F: 0.8821 0.9386 0.2220
K: 0.5192 0.9464 0.7578
K: 0.0000 0.0000 0.5000
F: 0.2750 0.8215 0.0489
F: 0.2250 0.3215 0.4511
F: 0.3297 0.7648 0.4240
F: 0.7250 0.1785 0.9511
Tm: 0.5000 0.5000 0.5000
Tm: 0.0000 0.0000 0.0000
F: 0.6703 0.2352 0.5760
K: 0.0192 0.5536 0.2578
F: 0.1179 0.0614 0.7780
F: 0.3821 0.5614 0.7220
F: 0.6179 0.4386 0.2780
F: 0.8297 0.7352 0.9240
F: 0.7750 0.6785 0.5489
K: 0.9808 0.4464 0.7422
F: 0.1703 0.2648 0.0760

***

Below is a crystal of HgPRh2 relaxed with PBEsol, with properties calculated at the SCAN level.

Values from the calculation:
Size of the total moment ... 0.010 μB per cell
ΔE_f ... 34.2 kJ/mol of atoms

Cell lengths 3.7388, 3.7388, 5.0575 Å; angles 111.69, 111.69, 90.00 degrees
Atoms (fractional coordinates):
Rh: 0.2500 0.7500 0.5000
Hg: 0.5000 0.5000 0.0000
Rh: 0.0000 0.0000 0.0000
P: 0.7500 0.2500 0.5000

***

Below is a crystal of MgTiSi3 relaxed with PBEsol, with properties calculated at the SCAN level.

Values from the calculation:
Formation energy from raw total energies ... 254 kJ/mol of formula units
Size of the total moment ... 0.000 μB per cell

Cell lengths 4.7163, 4.7163, 4.7163 Å; angles 90.00, 90.00, 90.00 degrees
Atoms (fractional coordinates):
Si: 0.0000 0.0000 0.5000
Mg: 0.5000 0.5000 0.5000
Si: 0.5000 0.0000 0.0000
Ti: 0.0000 0.0000 0.0000
Si: 0.0000 0.5000 0.0000

***

Below is a crystal of KScHg4 relaxed with PBEsol, with properties calculated at the SCAN level.

Values from the calculation:
Size of the total moment ... 0.000 μB per cell
ΔE_f ... -6.3 kJ/mol of atoms

Cell lengths 5.8895, 5.8895, 5.8895 Å; angles 60.00, 60.00, 60.00 degrees
Atoms (fractional coordinates):
Hg: 0.3746 0.8762 0.3746
Hg: 0.3746 0.3746 0.8762
Sc: 0.0000 0.0000 0.0000
Hg: 0.3746 0.3746 0.3746
K: 0.7500 0.7500 0.7500
Hg: 0.8762 0.3746 0.3746

***

Below is a crystal of ScTe2S relaxed with PBEsol, with properties calculated at the SCAN level.

Values from the calculation:
Formation energy from raw total energies ... -224 kJ/mol of formula units
Size of the total moment ... 0.000 μB per cell

Cell lengths 4.0855, 4.0855, 12.0982 Å; angles 99.72, 99.72, 90.00 degrees
Atoms (fractional coordinates):
Te: 0.8818 0.3750 0.2500
Te: 0.1250 0.1182 0.7500
S: 0.7500 0.2500 0.5000
S: 0.5000 0.5000 0.0000
Te: 0.6250 0.6318 0.7500
Sc: 0.0000 0.0000 0.0000
Te: 0.3682 0.8750 0.2500
Sc: 0.2500 0.7500 0.5000

***

Below is a crystal of MgTa2Te relaxed with PBEsol, with properties calculated at the SCAN level.

Values from the calculation:
Formation energy from raw total energies ... 173 kJ/mol of formula units
E above lowest polymorph ... 65 kJ/mol of formula units
Size of the total moment ... 0.000 μB per cell

Cell lengths 3.1127, 3.1127, 9.5444 Å; angles 80.62, 80.62, 60.00 degrees
Atoms (fractional coordinates):
Ta: 0.7544 0.7544 0.7368
Te: 0.5000 0.5000 0.5000
Ta: 0.2456 0.2456 0.2632
Mg: 0.0000 0.0000 0.0000

***

Below is a crystal of NaHg3Ir relaxed with PBEsol, with properties calculated at the SCAN level.

Values from the calculation:
Size of the total moment ... 0.000 μB per cell
ΔE_f ... 4.9 kJ/mol of atoms

Cell lengths 5.1851, 5.1851, 5.1851 Å; angles 90.00, 90.00, 90.00 degrees
Atoms (fractional coordinates):
Ir: 0.0000 0.0000 0.0000
Hg: 0.5000 0.0000 0.0000
Hg: 0.0000 0.0000 0.5000
Hg: 0.0000 0.5000 0.0000
Na: 0.5000 0.5000 0.5000

***

Below is a crystal of TiGaBi2 relaxed with PBEsol, with properties calculated at the SCAN level.

Values from the calculation:
Size of the total moment ... 1.978 μB per cell
ΔE_f ... 26.9 kJ/mol of atoms

Cell lengths 6.4381, 6.4381, 7.7472 Å; angles 114.55, 114.55, 90.00 degrees
Atoms (fractional coordinates):
Bi: 0.3815 0.8750 0.2500
Bi: 0.1250 0.1315 0.7500
Bi: 0.8685 0.3750 0.2500
Ti: 0.5000 0.5000 0.0000
Ga: 0.0000 0.0000 0.0000
Bi: 0.6250 0.6185 0.7500
Ga: 0.2500 0.7500 0.5000
Ti: 0.7500 0.2500 0.5000

***

Below is a crystal of BaCaLa relaxed with PBEsol, with properties calculated at the SCAN level.

Values from the calculation:
E above lowest polymorph ... 0 kJ/mol of formula units
Size of the total moment ... 0.139 μB per cell
ΔE_f ... 13.0 kJ/mol of atoms

Cell lengths 3.8629, 3.8629, 9.7175 Å; angles 90.00, 90.00, 120.00 degrees
Atoms (fractional coordinates):
Ca: 0.3333 0.6667 0.6530
Ba: 0.0000 0.0000 0.0050
La: 0.6667 0.3333 0.3420

***

Below is a crystal of Mg5Cr relaxed with PBEsol, with properties calculated at the SCAN level.

Values from the calculation:
Size of the total moment ... 4.232 μB per cell
ΔE_f ... 6.7 kJ/mol of atoms

Cell lengths 4.3754, 4.3662, 6.8751 Å; angles 90.00, 108.55, 90.00 degrees
Atoms (fractional coordinates):
Mg: 0.8387 0.0000 0.6775
Mg: 0.6601 0.5000 0.3202
Mg: 0.0000 0.5000 0.0000
Mg: 0.1613 0.0000 0.3225
Cr: 0.5000 0.0000 0.0000
Mg: 0.3399 0.5000 0.6798

***

Below is a crystal of HgP2Pb relaxed with PBEsol, with properties calculated at the SCAN level.

Values from the calculation:
E above lowest polymorph ... 0 kJ/mol of formula units
Size of the total moment ... 0.000 μB per cell
ΔE_f ... 19.4 kJ/mol of atoms

Cell lengths 5.9529, 5.9529, 7.2924 Å; angles 114.09, 114.09, 90.00 degrees
Atoms (fractional coordinates):
Pb: 0.0000 0.0000 0.0000
Hg: 0.7500 0.2500 0.5000
P: 0.3871 0.8750 0.2500
Pb: 0.2500 0.7500 0.5000
P: 0.8629 0.3750 0.2500
P: 0.1250 0.1371 0.7500
P: 0.6250 0.6129 0.7500
Hg: 0.5000 0.5000 0.0000

***

Below is a crystal of TePW relaxed with PBEsol, with properties calculated at the SCAN level.

Values from the calculation:
Formation energy from raw total energies ... 44 kJ/mol of formula units
Size of the total moment ... 0.000 μB per cell

Cell lengths 3.3564, 3.3564, 5.8997 Å; angles 90.00, 90.00, 120.00 degrees
Atoms (fractional coordinates):
Te: 0.3333 0.6667 0.6364
W: 0.6667 0.3333 0.3049
P: 0.0000 0.0000 0.0587

***

Below is a crystal of MnCr4Cl relaxed with PBEsol, with properties calculated at the SCAN level.

Values from the calculation:
Formation energy from raw total energies ... 489 kJ/mol of formula units
Size of the total moment ... 1.903 μB per cell

Cell lengths 4.7351, 4.7351, 4.7351 Å; angles 60.00, 60.00, 60.00 degrees
Atoms (fractional coordinates):
Mn: 0.7500 0.7500 0.7500
Cl: 0.0000 0.0000 0.0000
Cr: 0.8752 0.3749 0.3749
Cr: 0.3749 0.3749 0.3749
Cr: 0.3749 0.8752 0.3749
Cr: 0.3749 0.3749 0.8752

***

Below is a crystal of NbTcIr2I relaxed with PBEsol, with properties calculated at the SCAN level.

Values from the calculation:
Formation energy from raw total energies ... 905 kJ/mol of formula units
Size of the total moment ... 2.695 μB per cell

Cell lengths 4.7600, 4.8068, 4.8068 Å; angles 90.00, 90.00, 90.00 degrees
Atoms (fractional coordinates):
I: 0.5000 0.5000 0.5000
Ir: 0.0000 0.5000 0.0000
Nb: 0.0000 0.0000 0.0000
Ir: 0.0000 0.0000 0.5000
Tc: 0.5000 0.0000 0.0000